Entry 1:
! SCAN Ga2PRuS, PBEsol geometry; values from VASP
&SYSTEM
  ibrav = 0, nat = 5, ntyp = 4
/
ATOMIC_SPECIES
Ga 69.72 Ga.upf
P 30.97 P.upf
Ru 101.07 Ru.upf
S 32.06 S.upf
ATOMIC_POSITIONS crystal
Ga 0.000 0.500 0.000
Ga 0.500 0.000 0.000
P 0.000 0.000 0.500
Ru 0.500 0.500 0.500
S 0.500 0.500 0.000
CELL_PARAMETERS angstrom
4.658 0.000 0.000
0.000 4.658 0.000
0.000 0.000 4.278
! **Energy**: -83.15 eV for the cell shown
! **Raw formation energy**: 4.40 eV/f.u.
! **M_tot**: 0.00 μB/atom

***

Entry 2:
! SCAN CrRePt2N, PBEsol geometry; values from VASP
&SYSTEM
  ibrav = 0, nat = 5, ntyp = 4
/
ATOMIC_SPECIES
Cr 52.00 Cr.upf
Re 186.21 Re.upf
Pt 195.08 Pt.upf
N 14.01 N.upf
ATOMIC_POSITIONS crystal
Cr 0.000 0.000 0.000
Re 0.500 0.500 0.000
Pt 0.000 0.500 0.500
Pt 0.500 0.000 0.500
N 0.500 0.500 0.500
CELL_PARAMETERS angstrom
4.198 0.000 0.000
0.000 4.198 0.000
0.000 0.000 3.886
! **Energy**: -237.30 eV for the cell shown
! **Raw formation energy**: 1.86 eV/f.u.
! **M_tot**: 0.68 μB/atom

***

Entry 3:
! SCAN BaMn2Al, PBEsol geometry; values from VASP
&SYSTEM
  ibrav = 0, nat = 4, ntyp = 3
/
ATOMIC_SPECIES
Ba 137.33 Ba.upf
Mn 54.94 Mn.upf
Al 26.98 Al.upf
ATOMIC_POSITIONS crystal
Ba 0.000 0.000 0.000
Mn 0.000 0.500 0.500
Mn 0.500 0.500 0.000
Al 0.500 0.000 0.500
CELL_PARAMETERS angstrom
3.237 0.000 0.000
0.000 4.818 0.000
0.000 0.000 5.390
! **Formation energy from the elements**: 0.57 eV per atom
! **Energy**: -81.55 eV for the cell shown
! **M_tot**: 1.90 μB/atom

***

Entry 4:
! SCAN Li3FeNi3O8, PBEsol geometry; values from VASP
&SYSTEM
  ibrav = 0, nat = 15, ntyp = 4
/
ATOMIC_SPECIES
Li 6.94 Li.upf
Fe 55.84 Fe.upf
Ni 58.69 Ni.upf
O 16.00 O.upf
ATOMIC_POSITIONS crystal
Li 0.000 0.500 0.500
Li 0.500 0.000 0.500
Li 0.500 0.500 0.000
Fe 0.500 0.500 0.500
Ni 0.000 0.000 0.500
Ni 0.000 0.500 0.000
Ni 0.500 0.000 0.000
O 0.240 0.240 0.240
O 0.251 0.730 0.730
O 0.270 0.270 0.749
O 0.270 0.749 0.270
O 0.730 0.251 0.730
O 0.730 0.730 0.251
O 0.749 0.270 0.270
O 0.760 0.760 0.760
CELL_PARAMETERS angstrom
2.834 1.636 4.703
-2.834 1.636 4.703
0.000 -3.273 4.703
! **Energy**: -147.78 eV for the cell shown
! **Raw formation energy**: -24.12 eV/f.u.
! **M_tot**: 0.07 μB/atom

***

Q: What is the formula in the third record?
A: BaMn2Al

***

Q: M_tot of number 2 (CrRePt2N)?
A: 0.68 μB/atom

***

Please write out number 2 again, unchanged.
! SCAN CrRePt2N, PBEsol geometry; values from VASP
&SYSTEM
  ibrav = 0, nat = 5, ntyp = 4
/
ATOMIC_SPECIES
Cr 52.00 Cr.upf
Re 186.21 Re.upf
Pt 195.08 Pt.upf
N 14.01 N.upf
ATOMIC_POSITIONS crystal
Cr 0.000 0.000 0.000
Re 0.500 0.500 0.000
Pt 0.000 0.500 0.500
Pt 0.500 0.000 0.500
N 0.500 0.500 0.500
CELL_PARAMETERS angstrom
4.198 0.000 0.000
0.000 4.198 0.000
0.000 0.000 3.886
! **Energy**: -237.30 eV for the cell shown
! **Raw formation energy**: 1.86 eV/f.u.
! **M_tot**: 0.68 μB/atom